[1]
This record from Alexandria describes a PBEsol-optimized structure of InTc2As. The functional is meta-GGA SCAN.

Computed properties:
ΔE to the lowest computed polymorph   43 kJ/mol of formula units
Formation energy   0.274 eV per atom
Space group   Immm, No. 71

Cell and atoms, written as POSCAR:
```
InTc2As
1.0
-1.5202 2.4820 4.2588
1.5202 -2.4820 4.2588
1.5202 2.4820 -4.2588
In Tc As
1 2 1
Cartesian
0.0000 0.0000 0.0000
1.5202 0.0000 2.3794
0.0000 2.4820 1.8794
0.0000 0.0000 4.2588
```



[2]
This record from Alexandria describes a PBEsol-optimized structure of CaTc3H. The functional is meta-GGA SCAN.

Computed properties:
Space group   Pm-3m, No. 221

Cell and atoms, written as POSCAR:
```
CaTc3H
1.0
4.5198 0.0000 0.0000
0.0000 4.5198 0.0000
0.0000 0.0000 4.5198
Ca Tc H
1 3 1
Cartesian
0.0000 0.0000 0.0000
0.0000 0.0000 2.2599
0.0000 2.2599 0.0000
2.2599 0.0000 0.0000
2.2599 2.2599 2.2599
```



[3]
This record from Alexandria describes a PBEsol-optimized structure of ZnPd4. The functional is meta-GGA SCAN.

Computed properties:
Formation energy   -0.204 eV per atom
Space group   R-3m, No. 166

Cell and atoms, written as POSCAR:
```
ZnPd4
1.0
1.3771 0.7951 10.8193
-1.3771 0.7951 10.8193
0.0000 -1.5902 10.8193
Zn Pd
1 4
Cartesian
0.0000 0.0000 0.0000
0.0000 0.0000 6.5341
0.0000 0.0000 12.8479
0.0000 0.0000 19.6100
0.0000 0.0000 25.9239
```



[4]
This record from Alexandria describes a PBEsol-optimized structure of Mg5Re. The functional is meta-GGA SCAN.

Computed properties:
Formation energy   0.206 eV per atom
Space group   Cm, No. 8

Cell and atoms, written as POSCAR:
```
Mg5Re
1.0
5.5688 -1.4449 0.0000
5.5688 1.4449 0.0000
-1.7924 0.0000 7.0487
Mg Re
5 1
Cartesian
0.0000 0.0000 0.0000
-0.4837 0.0000 4.5176
3.8711 0.0000 2.2200
6.9293 0.0000 2.6095
6.5671 0.0000 6.6873
2.5675 0.0000 4.7617
```



[5]
This record from Alexandria describes a PBEsol-optimized structure of KSr2Au. The functional is meta-GGA SCAN.

Computed properties:
ΔE to the lowest computed polymorph   0 kJ/mol of formula units
Formation energy   -0.484 eV per atom
Space group   R-3m, No. 166

Cell and atoms, written as POSCAR:
```
KSr2Au
1.0
2.2418 1.2943 10.7750
-2.2418 1.2943 10.7750
0.0000 -2.5886 10.7750
K Sr Au
1 2 1
Cartesian
0.0000 0.0000 0.0000
0.0000 0.0000 7.0473
0.0000 0.0000 25.2778
0.0000 0.0000 16.1625
```



[6]
This record from Alexandria describes a PBEsol-optimized structure of ScCu2Ni. The functional is meta-GGA SCAN.

Computed properties:
Formation energy   -0.203 eV per atom
Space group   F-43m, No. 216

Cell and atoms, written as POSCAR:
```
ScCu2Ni
1.0
0.0000 2.9764 2.9764
2.9764 0.0000 2.9764
2.9764 2.9764 0.0000
Sc Cu Ni
1 2 1
Cartesian
0.0000 0.0000 0.0000
2.9764 2.9764 2.9764
4.4646 4.4646 4.4646
1.4882 1.4882 1.4882
```



[7]
This record from Alexandria describes a PBEsol-optimized structure of ScAl2Tc. The functional is meta-GGA SCAN.

Computed properties:
ΔE to the lowest computed polymorph   45 kJ/mol of formula units
Formation energy   -0.356 eV per atom
Space group   Pmmm, No. 47

Cell and atoms, written as POSCAR:
```
ScAl2Tc
1.0
2.7669 0.0000 0.0000
0.0000 4.0419 0.0000
0.0000 0.0000 5.6912
Sc Al Tc
1 2 1
Cartesian
0.0000 0.0000 0.0000
1.3835 2.0209 1.5701
1.3835 2.0209 4.1211
0.0000 0.0000 2.8456
```



[8]
This record from Alexandria describes a PBEsol-optimized structure of Sc4AlCu. The functional is meta-GGA SCAN.

Computed properties:
Formation energy   0.417 eV per atom
Space group   F-43m, No. 216

Cell and atoms, written as POSCAR:
```
Sc4AlCu
1.0
0.0000 3.9430 3.9430
3.9430 0.0000 3.9430
3.9430 3.9430 0.0000
Sc Al Cu
4 1 1
Cartesian
2.9627 2.9627 2.9627
4.9233 4.9233 2.9627
4.9233 2.9627 4.9233
2.9627 4.9233 4.9233
5.9145 5.9145 5.9145
0.0000 0.0000 0.0000
```



[9]
This record from Alexandria describes a PBEsol-optimized structure of Co2Pb. The functional is meta-GGA SCAN.

Computed properties:
Formation energy   0.615 eV per atom
Space group   P6/mmm, No. 191

Cell and atoms, written as POSCAR:
```
Co2Pb
1.0
3.9517 0.0000 0.0000
-1.9758 3.4222 0.0000
0.0000 0.0000 3.4502
Co Pb
2 1
Cartesian
0.0000 2.2815 0.0000
1.9758 1.1407 0.0000
0.0000 0.0000 1.7251
```



[10]
This record from Alexandria describes a PBEsol-optimized structure of P2IrPb. The functional is meta-GGA SCAN.

Computed properties:
Formation energy   0.304 eV per atom
Space group   Immm, No. 71

Cell and atoms, written as POSCAR:
```
P2IrPb
1.0
-1.4791 2.7740 4.6777
1.4791 -2.7740 4.6777
1.4791 2.7740 -4.6777
P Ir Pb
2 1 1
Cartesian
0.0000 0.0000 1.8414
0.0000 0.0000 7.5140
1.4791 0.0000 0.0000
0.0000 2.7740 0.0000
```



[11]
This record from Alexandria describes a PBEsol-optimized structure of NiAgC2. The functional is meta-GGA SCAN.

Computed properties:
Formation energy   2.133 eV per atom
Space group   Fm-3m, No. 225

Cell and atoms, written as POSCAR:
```
NiAgC2
1.0
0.0000 2.6847 2.6847
2.6847 0.0000 2.6847
2.6847 2.6847 0.0000
Ni Ag C
1 1 2
Cartesian
0.0000 0.0000 0.0000
2.6847 2.6847 2.6847
1.3423 1.3423 1.3423
4.0270 4.0270 4.0270
```



[12]
This record from Alexandria describes a PBEsol-optimized structure of SrCa2W. The functional is meta-GGA SCAN.

Computed properties:
ΔE to the lowest computed polymorph   89 kJ/mol of formula units
Formation energy   1.152 eV per atom
Space group   P4/mmm, No. 123

Cell and atoms, written as POSCAR:
```
SrCa2W
1.0
4.8809 0.0000 0.0000
0.0000 4.8809 0.0000
0.0000 0.0000 4.9027
Sr Ca W
1 2 1
Cartesian
0.0000 0.0000 0.0000
0.0000 2.4404 2.4513
2.4404 0.0000 2.4513
2.4404 2.4404 0.0000
```



[13]
This record from Alexandria describes a PBEsol-optimized structure of ZrMoAs. The functional is meta-GGA SCAN.

Computed properties:
Formation energy   -0.349 eV per atom
Space group   I4mm, No. 107

Cell and atoms, written as POSCAR:
```
ZrMoAs
1.0
-1.6491 1.6491 4.7287
1.6491 -1.6491 4.7287
1.6491 1.6491 -4.7287
Zr Mo As
1 1 1
Cartesian
0.0000 0.0000 0.0000
0.0000 0.0000 2.8965
0.0000 0.0000 6.4948
```



[14]
This record from Alexandria describes a PBEsol-optimized structure of La2Ge2Pb. The functional is meta-GGA SCAN.

Computed properties:
Formation energy   -0.286 eV per atom
Space group   I4/mmm, No. 139

Cell and atoms, written as POSCAR:
```
La2Ge2Pb
1.0
-2.4912 2.4912 5.8031
2.4912 -2.4912 5.8031
2.4912 2.4912 -5.8031
La Ge Pb
2 2 1
Cartesian
2.4912 0.0000 2.9015
0.0000 2.4912 2.9015
0.0000 0.0000 1.1889
0.0000 0.0000 10.4172
0.0000 0.0000 5.8031
```



[15]
This record from Alexandria describes a PBEsol-optimized structure of LiPmZn2. The functional is meta-GGA SCAN.

Computed properties:
Formation energy   -0.311 eV per atom
Space group   Fm-3m, No. 225

Cell and atoms, written as POSCAR:
```
LiPmZn2
1.0
0.0000 3.3761 3.3761
3.3761 0.0000 3.3761
3.3761 3.3761 0.0000
Li Pm Zn
1 1 2
Cartesian
0.0000 0.0000 0.0000
3.3761 3.3761 3.3761
1.6880 1.6880 1.6880
5.0641 5.0641 5.0641
```



[16]
This record from Alexandria describes a PBEsol-optimized structure of SrSbCl2. The functional is meta-GGA SCAN.

Computed properties:
ΔE to the lowest computed polymorph   79 kJ/mol of formula units
Space group   Pmm2, No. 25

Cell and atoms, written as POSCAR:
```
SrSbCl2
1.0
3.7456 0.0000 0.0000
0.0000 5.8705 0.0000
0.0000 0.0000 5.4016
Sr Sb Cl
1 1 2
Cartesian
0.0000 0.0000 0.0000
1.8728 2.9352 0.7490
0.0000 0.0000 2.6921
1.8728 2.9352 3.2005
```



[17]
This record from Alexandria describes a PBEsol-optimized structure of Nb3Ga. The functional is meta-GGA SCAN.

Computed properties:
Formation energy   -0.266 eV per atom
Space group   Pm-3n, No. 223

Cell and atoms, written as POSCAR:
```
Nb3Ga
1.0
5.1374 0.0000 0.0000
0.0000 5.1374 0.0000
0.0000 0.0000 5.1374
Nb Ga
6 2
Cartesian
0.0000 1.2843 2.5687
0.0000 3.8530 2.5687
1.2843 2.5687 0.0000
2.5687 0.0000 1.2843
2.5687 0.0000 3.8530
3.8530 2.5687 0.0000
0.0000 0.0000 0.0000
2.5687 2.5687 2.5687
```



[18]
This record from Alexandria describes a PBEsol-optimized structure of CrNi6Au. The functional is meta-GGA SCAN.

Computed properties:
Formation energy   0.053 eV per atom
Space group   Cmmm, No. 65

Cell and atoms, written as POSCAR:
```
CrNi6Au
1.0
3.5493 -5.0258 0.0000
3.5493 5.0258 0.0000
0.0000 0.0000 10.0958
Cr Ni Au
4 24 4
Cartesian
0.0000 0.0000 2.5071
0.0000 0.0000 7.5887
3.5493 2.5462 5.0479
3.5493 -2.5462 5.0479
0.0000 0.0000 0.0000
0.0000 0.0000 5.0479
1.7225 1.2875 3.8479
1.7225 1.2875 6.2479
1.6944 1.2287 1.3388
1.6944 1.2287 8.7570
3.5493 2.5702 2.6387
3.5493 2.5702 7.4570
1.6944 -1.2287 1.3388
1.6944 -1.2287 8.7570
1.7225 -1.2875 3.8479
1.7225 -1.2875 6.2479
3.5493 0.0000 0.0000
3.5493 0.0000 5.0479
5.3760 1.2875 3.8479
5.3760 1.2875 6.2479
5.4041 1.2287 1.3388
5.4041 1.2287 8.7570
3.5493 -2.5702 2.6387
3.5493 -2.5702 7.4570
5.4041 -1.2287 1.3388
5.4041 -1.2287 8.7570
5.3760 -1.2875 3.8479
5.3760 -1.2875 6.2479
3.5493 2.4641 0.0000
3.5493 0.0000 2.5484
3.5493 0.0000 7.5474
3.5493 -2.4641 0.0000
```



[19]
This record from Alexandria describes a PBEsol-optimized structure of KNaCu2W. The functional is meta-GGA SCAN.

Computed properties:
Formation energy   1.295 eV per atom
Space group   P4/mmm, No. 123

Cell and atoms, written as POSCAR:
```
KNaCu2W
1.0
4.7685 0.0000 0.0000
0.0000 4.7685 0.0000
0.0000 0.0000 5.6168
K Na Cu W
1 1 2 1
Cartesian
0.0000 0.0000 0.0000
2.3843 2.3843 0.0000
0.0000 2.3843 2.8084
2.3843 0.0000 2.8084
2.3843 2.3843 2.8084
```



[20]
This record from Alexandria describes a PBEsol-optimized structure of Mn2AlCo. The functional is meta-GGA SCAN.

Computed properties:
ΔE to the lowest computed polymorph   33 kJ/mol of formula units
Formation energy   -0.370 eV per atom
Space group   Pmmm, No. 47

Cell and atoms, written as POSCAR:
```
Mn2AlCo
1.0
2.8559 0.0000 0.0000
0.0000 3.9157 0.0000
0.0000 0.0000 4.0311
Mn Al Co
2 1 1
Cartesian
0.0000 0.0000 0.0000
1.4280 1.9579 0.0000
0.0000 1.9579 2.0156
1.4280 0.0000 2.0156
```



no.,raw total energy (eV/atom)
1,-30.6502
2,-20.1519
3,-29.1267
4,-15.7879
5,-30.9926
6,-15.4053
7,-16.5566
8,-12.8998
9,-36.1818
10,-41.6155
11,-14.8022
12,-26.6703
13,-28.9405
14,-40.3193
15,-18.6623
16,-20.1071
17,-29.2003
18,-23.0195
19,-21.2311
20,-15.7615